# 1
# Cs3SbH (SCAN, single point on PBEsol structure)
# - magnetization (Bohr magnetons per cell) = 1.002
# - total DFT energy (no corrections) (eV/atom) = -31.157
# - symmetry = Pm-3m
data_Cs3SbH
_space_group_name_H-M_alt 'P 1'
_space_group_IT_number 1
_cell_length_a 5.840
_cell_length_b 5.840
_cell_length_c 5.840
_cell_angle_alpha 90.00
_cell_angle_beta 90.00
_cell_angle_gamma 90.00
loop_
_space_group_symop_operation_xyz
'x,y,z'
loop_
_atom_site_label
_atom_site_type_symbol
_atom_site_fract_x
_atom_site_fract_y
_atom_site_fract_z
_atom_site_occupancy
Cs1 Cs 0.000 0.500 0.000 1
Cs2 Cs 0.000 0.000 0.500 1
Cs3 Cs 0.500 0.000 0.000 1
Sb1 Sb 0.500 0.500 0.500 1
H1 H 0.000 0.000 0.000 1

# 2
# AcFeO3 (SCAN, single point on PBEsol structure)
# - magnetization (Bohr magnetons per cell) = 0.997
# - symmetry = Pm-3m
# - formation energy without anion corrections (meV/atom) = -2643
data_AcFeO3
_space_group_name_H-M_alt 'P 1'
_space_group_IT_number 1
_cell_length_a 3.882
_cell_length_b 3.882
_cell_length_c 3.882
_cell_angle_alpha 90.00
_cell_angle_beta 90.00
_cell_angle_gamma 90.00
loop_
_space_group_symop_operation_xyz
'x,y,z'
loop_
_atom_site_label
_atom_site_type_symbol
_atom_site_fract_x
_atom_site_fract_y
_atom_site_fract_z
_atom_site_occupancy
Ac1 Ac 0.000 0.000 0.000 1
Fe1 Fe 0.500 0.500 0.500 1
O1 O 0.500 0.500 0.000 1
O2 O 0.500 0.000 0.500 1
O3 O 0.000 0.500 0.500 1

# 3
# Dy2Ni7 (SCAN, single point on PBEsol structure)
# - energy of formation from the pure elements (eV/atom) = -0.39
# - magnetization (Bohr magnetons per cell) = 3.923
# - symmetry = R-3m
data_Dy2Ni7
_space_group_name_H-M_alt 'P 1'
_space_group_IT_number 1
_cell_length_a 4.845
_cell_length_b 4.845
_cell_length_c 12.195
_cell_angle_alpha 78.54
_cell_angle_beta 78.54
_cell_angle_gamma 60.00
loop_
_space_group_symop_operation_xyz
'x,y,z'
loop_
_atom_site_label
_atom_site_type_symbol
_atom_site_fract_x
_atom_site_fract_y
_atom_site_fract_z
_atom_site_occupancy
Dy1 Dy 0.949 0.949 0.152 1
Dy2 Dy 0.853 0.853 0.442 1
Dy3 Dy 0.147 0.147 0.558 1
Dy4 Dy 0.051 0.051 0.848 1
Ni1 Ni 0.500 0.500 0.000 1
Ni2 Ni 0.500 0.000 0.000 1
Ni3 Ni 0.000 0.500 0.000 1
Ni4 Ni 0.612 0.612 0.165 1
Ni5 Ni 0.278 0.278 0.165 1
Ni6 Ni 0.390 0.390 0.329 1
Ni7 Ni 0.891 0.390 0.329 1
Ni8 Ni 0.390 0.891 0.329 1
Ni9 Ni 0.500 0.500 0.500 1
Ni10 Ni 0.610 0.109 0.671 1
Ni11 Ni 0.109 0.610 0.671 1
Ni12 Ni 0.610 0.610 0.671 1
Ni13 Ni 0.722 0.722 0.835 1
Ni14 Ni 0.388 0.388 0.835 1

# 4
# Ti3NbNi (SCAN, single point on PBEsol structure)
# - energy of formation from the pure elements (eV/atom) = 0.43
# - magnetization (Bohr magnetons per cell) = 0.001
# - symmetry = Pm-3m
data_Ti3NbNi
_space_group_name_H-M_alt 'P 1'
_space_group_IT_number 1
_cell_length_a 4.445
_cell_length_b 4.445
_cell_length_c 4.445
_cell_angle_alpha 90.00
_cell_angle_beta 90.00
_cell_angle_gamma 90.00
loop_
_space_group_symop_operation_xyz
'x,y,z'
loop_
_atom_site_label
_atom_site_type_symbol
_atom_site_fract_x
_atom_site_fract_y
_atom_site_fract_z
_atom_site_occupancy
Ni1 Ni 0.000 0.000 0.000 1
Nb1 Nb 0.500 0.500 0.500 1
Ti1 Ti 0.000 0.500 0.000 1
Ti2 Ti 0.000 0.000 0.500 1
Ti3 Ti 0.500 0.000 0.000 1

# 5
# Ba2NaOsO6 (SCAN, single point on PBEsol structure)
# - magnetization (Bohr magnetons per cell) = 1.005
# - symmetry = Fm-3m
# - formation energy without anion corrections (meV/atom) = -2147
data_Ba2NaOsO6
_space_group_name_H-M_alt 'P 1'
_space_group_IT_number 1
_cell_length_a 5.843
_cell_length_b 5.843
_cell_length_c 5.843
_cell_angle_alpha 60.00
_cell_angle_beta 60.00
_cell_angle_gamma 60.00
loop_
_space_group_symop_operation_xyz
'x,y,z'
loop_
_atom_site_label
_atom_site_type_symbol
_atom_site_fract_x
_atom_site_fract_y
_atom_site_fract_z
_atom_site_occupancy
Ba1 Ba 0.250 0.250 0.250 1
Ba2 Ba 0.750 0.750 0.750 1
Na1 Na 0.500 0.500 0.500 1
Os1 Os 0.000 0.000 0.000 1
O1 O 0.229 0.771 0.229 1
O2 O 0.771 0.771 0.229 1
O3 O 0.229 0.229 0.771 1
O4 O 0.771 0.229 0.229 1
O5 O 0.771 0.229 0.771 1
O6 O 0.229 0.771 0.771 1

# 6
# ZrCr2InCl (SCAN, single point on PBEsol structure)
# - magnetization (Bohr magnetons per cell) = 6.781
# - symmetry = P4/mmm
# - formation energy without anion corrections (meV/atom) = 1042
data_ZrCr2InCl
_space_group_name_H-M_alt 'P 1'
_space_group_IT_number 1
_cell_length_a 4.994
_cell_length_b 4.994
_cell_length_c 5.147
_cell_angle_alpha 90.00
_cell_angle_beta 90.00
_cell_angle_gamma 90.00
loop_
_space_group_symop_operation_xyz
'x,y,z'
loop_
_atom_site_label
_atom_site_type_symbol
_atom_site_fract_x
_atom_site_fract_y
_atom_site_fract_z
_atom_site_occupancy
Cr1 Cr 0.000 0.500 0.000 1
Cr2 Cr 0.500 0.000 0.000 1
Cl1 Cl 0.000 0.000 0.500 1
Zr1 Zr 0.500 0.500 0.500 1
In1 In 0.000 0.000 0.000 1

# 7
# HgPdNO2 (SCAN, single point on PBEsol structure)
# - magnetization (Bohr magnetons per cell) = 3.315
# - symmetry = P4/mmm
# - formation energy without anion corrections (meV/atom) = 1442
data_HgPdNO2
_space_group_name_H-M_alt 'P 1'
_space_group_IT_number 1
_cell_length_a 4.109
_cell_length_b 4.157
_cell_length_c 4.157
_cell_angle_alpha 90.00
_cell_angle_beta 90.00
_cell_angle_gamma 90.00
loop_
_space_group_symop_operation_xyz
'x,y,z'
loop_
_atom_site_label
_atom_site_type_symbol
_atom_site_fract_x
_atom_site_fract_y
_atom_site_fract_z
_atom_site_occupancy
O1 O 0.000 0.000 0.500 1
O2 O 0.000 0.500 0.000 1
Hg1 Hg 0.000 0.000 0.000 1
Pd1 Pd 0.500 0.500 0.500 1
N1 N 0.500 0.000 0.000 1

# 8
# Mn3ZnPd (SCAN, single point on PBEsol structure)
# - energy of formation from the pure elements (eV/atom) = 0.59
# - magnetization (Bohr magnetons per cell) = 12.725
# - symmetry = Pm-3m
data_Mn3ZnPd
_space_group_name_H-M_alt 'P 1'
_space_group_IT_number 1
_cell_length_a 4.460
_cell_length_b 4.460
_cell_length_c 4.460
_cell_angle_alpha 90.00
_cell_angle_beta 90.00
_cell_angle_gamma 90.00
loop_
_space_group_symop_operation_xyz
'x,y,z'
loop_
_atom_site_label
_atom_site_type_symbol
_atom_site_fract_x
_atom_site_fract_y
_atom_site_fract_z
_atom_site_occupancy
Zn1 Zn 0.000 0.000 0.000 1
Mn1 Mn 0.000 0.500 0.000 1
Mn2 Mn 0.000 0.000 0.500 1
Mn3 Mn 0.500 0.000 0.000 1
Pd1 Pd 0.500 0.500 0.500 1

# 9
# MnAg2GeAu (SCAN, single point on PBEsol structure)
# - energy of formation from the pure elements (eV/atom) = 0.77
# - magnetization (Bohr magnetons per cell) = 3.799
# - symmetry = P4/mmm
data_MnAg2GeAu
_space_group_name_H-M_alt 'P 1'
_space_group_IT_number 1
_cell_length_a 4.489
_cell_length_b 4.785
_cell_length_c 4.785
_cell_angle_alpha 90.00
_cell_angle_beta 90.00
_cell_angle_gamma 90.00
loop_
_space_group_symop_operation_xyz
'x,y,z'
loop_
_atom_site_label
_atom_site_type_symbol
_atom_site_fract_x
_atom_site_fract_y
_atom_site_fract_z
_atom_site_occupancy
Ge1 Ge 0.500 0.000 0.000 1
Mn1 Mn 0.000 0.000 0.000 1
Au1 Au 0.500 0.500 0.500 1
Ag1 Ag 0.000 0.000 0.500 1
Ag2 Ag 0.000 0.500 0.000 1

# 10
# BaCrRh2 (SCAN, single point on PBEsol structure)
# - energy of formation from the pure elements (eV/atom) = 0.40
# - magnetization (Bohr magnetons per cell) = 3.153
# - symmetry = P4mm
# - relative energy among the computed polymorphs (kJ per mole of atoms) = 0.0
data_BaCrRh2
_space_group_name_H-M_alt 'P 1'
_space_group_IT_number 1
_cell_length_a 3.230
_cell_length_b 3.230
_cell_length_c 7.404
_cell_angle_alpha 90.00
_cell_angle_beta 90.00
_cell_angle_gamma 90.00
loop_
_space_group_symop_operation_xyz
'x,y,z'
loop_
_atom_site_label
_atom_site_type_symbol
_atom_site_fract_x
_atom_site_fract_y
_atom_site_fract_z
_atom_site_occupancy
Ba1 Ba 0.000 0.000 0.517 1
Cr1 Cr 0.500 0.500 0.145 1
Rh1 Rh 0.000 0.000 0.025 1
Rh2 Rh 0.500 0.500 0.813 1

# 11
# LaRe3Ag (SCAN, single point on PBEsol structure)
# - energy of formation from the pure elements (eV/atom) = 2.41
# - magnetization (Bohr magnetons per cell) = 0.015
# - symmetry = Pm-3m
data_LaRe3Ag
_space_group_name_H-M_alt 'P 1'
_space_group_IT_number 1
_cell_length_a 4.791
_cell_length_b 4.791
_cell_length_c 4.791
_cell_angle_alpha 90.00
_cell_angle_beta 90.00
_cell_angle_gamma 90.00
loop_
_space_group_symop_operation_xyz
'x,y,z'
loop_
_atom_site_label
_atom_site_type_symbol
_atom_site_fract_x
_atom_site_fract_y
_atom_site_fract_z
_atom_site_occupancy
Re1 Re 0.000 0.500 0.000 1
Re2 Re 0.000 0.000 0.500 1
Re3 Re 0.500 0.000 0.000 1
Ag1 Ag 0.000 0.000 0.000 1
La1 La 0.500 0.500 0.500 1

# 12
# InHg6As4Cl7 (SCAN, single point on PBEsol structure)
# - magnetization (Bohr magnetons per cell) = 0.000
# - symmetry = Pa-3
# - formation energy without anion corrections (meV/atom) = -611
data_InHg6As4Cl7
_space_group_name_H-M_alt 'P 1'
_space_group_IT_number 1
_cell_length_a 12.115
_cell_length_b 12.115
_cell_length_c 12.115
_cell_angle_alpha 90.00
_cell_angle_beta 90.00
_cell_angle_gamma 90.00
loop_
_space_group_symop_operation_xyz
'x,y,z'
loop_
_atom_site_label
_atom_site_type_symbol
_atom_site_fract_x
_atom_site_fract_y
_atom_site_fract_z
_atom_site_occupancy
In1 In 0.000 0.000 0.500 1
In2 In 0.500 0.000 0.000 1
In3 In 0.500 0.500 0.500 1
In4 In 0.000 0.500 0.000 1
Hg1 Hg 0.700 0.950 0.319 1
Hg2 Hg 0.200 0.550 0.681 1
Hg3 Hg 0.819 0.700 0.550 1
Hg4 Hg 0.550 0.819 0.700 1
Hg5 Hg 0.700 0.550 0.819 1
Hg6 Hg 0.450 0.319 0.800 1
Hg7 Hg 0.550 0.681 0.200 1
Hg8 Hg 0.681 0.200 0.550 1
Hg9 Hg 0.050 0.819 0.800 1
Hg10 Hg 0.300 0.450 0.181 1
Hg11 Hg 0.800 0.450 0.319 1
Hg12 Hg 0.300 0.050 0.681 1
Hg13 Hg 0.950 0.319 0.700 1
Hg14 Hg 0.181 0.200 0.950 1
Hg15 Hg 0.819 0.800 0.050 1
Hg16 Hg 0.050 0.681 0.300 1
Hg17 Hg 0.319 0.700 0.950 1
Hg18 Hg 0.181 0.300 0.450 1
Hg19 Hg 0.800 0.050 0.819 1
Hg20 Hg 0.450 0.181 0.300 1
Hg21 Hg 0.200 0.950 0.181 1
Hg22 Hg 0.681 0.300 0.050 1
Hg23 Hg 0.319 0.800 0.450 1
Hg24 Hg 0.950 0.181 0.200 1
As1 As 0.737 0.737 0.737 1
As2 As 0.647 0.147 0.353 1
As3 As 0.263 0.263 0.263 1
As4 As 0.763 0.237 0.737 1
As5 As 0.853 0.853 0.853 1
As6 As 0.353 0.647 0.147 1
As7 As 0.237 0.763 0.263 1
As8 As 0.147 0.353 0.647 1
As9 As 0.237 0.737 0.763 1
As10 As 0.263 0.237 0.763 1
As11 As 0.763 0.263 0.237 1
As12 As 0.853 0.647 0.353 1
As13 As 0.147 0.147 0.147 1
As14 As 0.647 0.353 0.853 1
As15 As 0.737 0.763 0.237 1
As16 As 0.353 0.853 0.647 1
Cl1 Cl 0.301 0.542 0.451 1
Cl2 Cl 0.042 0.451 0.199 1
Cl3 Cl 0.699 0.042 0.049 1
Cl4 Cl 0.500 0.000 0.500 1
Cl5 Cl 0.458 0.951 0.199 1
Cl6 Cl 0.199 0.458 0.951 1
Cl7 Cl 0.451 0.199 0.042 1
Cl8 Cl 0.000 0.000 0.000 1
Cl9 Cl 0.958 0.951 0.301 1
Cl10 Cl 0.451 0.301 0.542 1
Cl11 Cl 0.801 0.542 0.049 1
Cl12 Cl 0.049 0.699 0.042 1
Cl13 Cl 0.549 0.699 0.458 1
Cl14 Cl 0.951 0.301 0.958 1
Cl15 Cl 0.699 0.458 0.549 1
Cl16 Cl 0.801 0.958 0.549 1
Cl17 Cl 0.500 0.500 0.000 1
Cl18 Cl 0.000 0.500 0.500 1
Cl19 Cl 0.542 0.049 0.801 1
Cl20 Cl 0.301 0.958 0.951 1
Cl21 Cl 0.042 0.049 0.699 1
Cl22 Cl 0.951 0.199 0.458 1
Cl23 Cl 0.199 0.042 0.451 1
Cl24 Cl 0.542 0.451 0.301 1
Cl25 Cl 0.049 0.801 0.542 1
Cl26 Cl 0.549 0.801 0.958 1
Cl27 Cl 0.958 0.549 0.801 1
Cl28 Cl 0.458 0.549 0.699 1

Copy entry 4 word for word.
# Ti3NbNi (SCAN, single point on PBEsol structure)
# - energy of formation from the pure elements (eV/atom) = 0.43
# - magnetization (Bohr magnetons per cell) = 0.001
# - symmetry = Pm-3m
data_Ti3NbNi
_space_group_name_H-M_alt 'P 1'
_space_group_IT_number 1
_cell_length_a 4.445
_cell_length_b 4.445
_cell_length_c 4.445
_cell_angle_alpha 90.00
_cell_angle_beta 90.00
_cell_angle_gamma 90.00
loop_
_space_group_symop_operation_xyz
'x,y,z'
loop_
_atom_site_label
_atom_site_type_symbol
_atom_site_fract_x
_atom_site_fract_y
_atom_site_fract_z
_atom_site_occupancy
Ni1 Ni 0.000 0.000 0.000 1
Nb1 Nb 0.500 0.500 0.500 1
Ti1 Ti 0.000 0.500 0.000 1
Ti2 Ti 0.000 0.000 0.500 1
Ti3 Ti 0.500 0.000 0.000 1

Q: The lowest magnetization belongs to which entry?
A: InHg6As4Cl7

Repeat the eleventh record exactly.
# LaRe3Ag (SCAN, single point on PBEsol structure)
# - energy of formation from the pure elements (eV/atom) = 2.41
# - magnetization (Bohr magnetons per cell) = 0.015
# - symmetry = Pm-3m
data_LaRe3Ag
_space_group_name_H-M_alt 'P 1'
_space_group_IT_number 1
_cell_length_a 4.791
_cell_length_b 4.791
_cell_length_c 4.791
_cell_angle_alpha 90.00
_cell_angle_beta 90.00
_cell_angle_gamma 90.00
loop_
_space_group_symop_operation_xyz
'x,y,z'
loop_
_atom_site_label
_atom_site_type_symbol
_atom_site_fract_x
_atom_site_fract_y
_atom_site_fract_z
_atom_site_occupancy
Re1 Re 0.000 0.500 0.000 1
Re2 Re 0.000 0.000 0.500 1
Re3 Re 0.500 0.000 0.000 1
Ag1 Ag 0.000 0.000 0.000 1
La1 La 0.500 0.500 0.500 1